1.
Compound: DyRuF6
Source: Alexandria via LeMat-Bulk
Functional: PBE
Structure: optimized geometry

Structure (extended XYZ):
```
8
Lattice="-2.0243 -0.0688 -5.5837 -4.5013 -1.8909 0.6523 -2.8473 3.4910 1.9921" Properties=species:S:1:pos:R:3 pbc="T T T"
Ru -0.1520 0.0331 0.0547
F -3.5179 2.3839 -2.6249
F -3.7281 2.0475 0.9188
F -3.0688 -0.5860 -3.7556
F -3.7615 -1.3085 -1.0677
Dy -1.1655 -0.0010 -2.7366
F -1.6570 1.1054 -0.8560
F -5.9511 -0.4495 -3.7478
```

Computed properties:
Raw formation energy in meV/atom: -2622

2.
Compound: DyS6F2
Source: Alexandria via LeMat-Bulk
Functional: PBE
Structure: optimized geometry

Structure (extended XYZ):
```
9
Lattice="3.5241 -0.1342 -0.3135 -0.4192 6.9562 -4.1320 -0.3862 0.2942 9.0102" Properties=species:S:1:pos:R:3 pbc="T T T"
S 0.2954 2.4089 1.4421
S 0.1252 5.5702 0.5302
S 2.7769 3.3896 4.6055
S 2.4232 4.7073 3.1226
F 1.3047 0.9096 7.7286
F 1.4140 6.2066 -3.1639
Dy 0.0000 0.0000 0.0000
S -0.0582 3.7266 -0.0408
S 2.5935 1.5460 4.0345
```

Computed properties:
Raw formation energy in meV/atom: -1172